First-principles (PBE-GGA) data for an optimized crystal structure of La6Pm3Pr2Mg, as listed in Alexandria via LeMat-Bulk.

## Properties
Total energy ... -4.5734 eV per atom
Space-group type ... C2/m
E_form ... 0.01 eV per atom

Cell: 6.3747 6.3747 12.1313 Å, 95.06 95.06 120.06°
Last column: nearest neighbours and their distance in Å.
Element x y z (fractional)
La 0.9179 0.5890 0.7509  6 La 3.63-3.71, 1 Mg 3.64, 2 Pr 3.66-3.67, 3 Pm 3.66-3.69
La 0.7532 0.7532 0.2501  6 La 3.63-3.71, 1 Mg 3.66, 3 Pm 3.66-3.68, 2 Pr 3.67
La 0.0821 0.4110 0.2491  6 La 3.63-3.71, 1 Mg 3.64, 2 Pr 3.66-3.67, 3 Pm 3.66-3.69
La 0.5890 0.9179 0.7509  6 La 3.63-3.71, 1 Mg 3.64, 2 Pr 3.66-3.67, 3 Pm 3.66-3.69
La 0.2468 0.2468 0.7499  6 La 3.63-3.71, 1 Mg 3.66, 3 Pm 3.66-3.68, 2 Pr 3.67
La 0.4110 0.0821 0.2491  6 La 3.63-3.71, 1 Mg 3.64, 2 Pr 3.66-3.67, 3 Pm 3.66-3.69
Pm 0.1669 0.8331 0.5000  6 La 3.66-3.69, 6 Pm 3.68-3.69
Pm 0.8331 0.1669 0.5000  6 La 3.66-3.69, 6 Pm 3.68-3.69
Pm 0.5000 0.5000 0.5000  6 La 3.67-3.68, 6 Pm 3.68
Pr 0.3330 0.6670 0.0000  6 La 3.66-3.67, 3 Pr 3.67-3.69, 3 Mg 3.68
Pr 0.6670 0.3330 0.0000  6 La 3.66-3.67, 3 Pr 3.67-3.69, 3 Mg 3.68
Mg 0.0000 0.0000 0.0000  6 La 3.64-3.66, 6 Pr 3.68

First-principles (PBE-GGA) data for an optimized crystal structure of AcYCdSn, as listed in Alexandria via LeMat-Bulk.

## Properties
Total energy ... -4.3364 eV per atom
Space-group type ... F-43m
E_form ... -0.46 eV per atom

Cell: 5.5488 5.5488 5.5488 Å, 60.00 60.00 60.00°
Last column: nearest neighbours and their distance in Å.
Element x y z (fractional)
Y 0.0000 0.0000 0.0000  4 Cd 3.40, 4 Sn 3.40
Ac 0.5000 0.5000 0.5000  4 Cd 3.40, 4 Sn 3.40
Sn 0.7500 0.7500 0.7500  4 Ac 3.40, 4 Y 3.40
Cd 0.2500 0.2500 0.2500  4 Y 3.40, 4 Ac 3.40

First-principles (PBE-GGA) data for an optimized crystal structure of CsTl2CoHg, as listed in Alexandria via LeMat-Bulk.

## Properties
Total energy ... -2.5424 eV per atom
Space-group type ... P4/mmm
E_form ... 0.06 eV per atom

Cell: 5.1967 5.1967 5.4115 Å, 90.00 90.00 90.00°
Last column: nearest neighbours and their distance in Å.
Element x y z (fractional)
Cs 0.5000 0.5000 0.5000  4 Hg 3.67, 8 Tl 3.75
Tl 0.0000 0.5000 0.0000  2 Co 2.60
Tl 0.5000 0.0000 0.0000  2 Co 2.60
Co 0.0000 0.0000 0.0000  4 Tl 2.60, 2 Hg 2.71
Hg 0.0000 0.0000 0.5000  2 Co 2.71

First-principles (PBE-GGA) data for an optimized crystal structure of Sr2LiAlIn6, as listed in Alexandria via LeMat-Bulk.

## Properties
Total energy ... -2.7238 eV per atom
Space-group type ... P-1
E_form ... -0.18 eV per atom

Cell: 7.3163 7.4443 7.1905 Å, 60.99 61.50 90.26°
Last column: nearest neighbours and their distance in Å.
Element x y z (fractional)
Sr 0.3035 0.9188 0.3821  6 In 3.47-3.78, 1 Li 3.60
Sr 0.6965 0.0812 0.6179  6 In 3.47-3.78, 1 Li 3.60
Li 0.5000 0.5000 0.0000  6 In 2.70-2.74
Al 0.0000 0.0000 0.0000  6 In 2.83-2.87
In 0.1583 0.6507 0.0103  1 Li 2.73, 1 Al 2.83
In 0.6606 0.6461 0.1864  1 Li 2.70, 1 Al 2.87
In 0.1716 0.3527 0.4884  1 Li 2.74, 1 Al 2.86
In 0.8417 0.3493 0.9897  1 Li 2.73, 1 Al 2.83
In 0.3394 0.3539 0.8136  1 Li 2.70, 1 Al 2.87
In 0.8284 0.6473 0.5116  1 Li 2.74, 1 Al 2.86

First-principles (PBE-GGA) data for an optimized crystal structure of Pa2Tc5P4, as listed in Alexandria via LeMat-Bulk.

## Properties
Total energy ... -9.0704 eV per atom
Space-group type ... Fmmm
E_form ... -0.66 eV per atom

Cell: 5.8291 5.8181 6.9155 Å, 77.81 65.07 59.94°
Last column: nearest neighbours and their distance in Å.
Element x y z (fractional)
Pa 0.8821 0.0000 0.2357  1 Pa 2.96, 6 Tc 3.26-3.27, 4 P 3.29
Pa 0.1179 0.0000 0.7643  1 Pa 2.96, 6 Tc 3.26-3.27, 4 P 3.29
Tc 0.5000 0.0000 0.0000  4 P 2.28
Tc 0.0000 0.5000 0.0000  4 P 2.46
Tc 0.5000 0.5000 0.0000  4 P 2.46
Tc 0.2500 0.5000 0.5000  4 P 2.28
Tc 0.7500 0.5000 0.5000  4 P 2.28
P 0.4858 0.3003 0.7281  5 Tc 2.28-2.46
P 0.5142 0.6997 0.2719  5 Tc 2.28-2.46
P 0.2139 0.3003 0.2719  5 Tc 2.28-2.46
P 0.7861 0.6997 0.7281  5 Tc 2.28-2.46

First-principles (PBE-GGA) data for an optimized crystal structure of VPtRh3, as listed in Alexandria via LeMat-Bulk.

## Properties
Total energy ... -6.8226 eV per atom
E above lowest polymorph ... 772 meV per atom
Space-group type ... I-4m2
E_form ... 0.62 eV per atom

Cell: 4.8460 4.8460 8.7388 Å, 106.10 106.10 90.00°
Last column: nearest neighbours and their distance in Å.
Element x y z (fractional)
V 0.0000 0.0000 0.0000  4 Rh 2.30
V 0.2500 0.7500 0.5000  8 Rh 2.39-2.55
Pt 0.6327 0.1327 0.2654  6 Rh 2.66-2.72
Pt 0.8673 0.3673 0.7346  6 Rh 2.66-2.72
Rh 0.6257 0.8786 0.7572  2 V 2.30-2.39, 2 Rh 2.40-2.45
Rh 0.1214 0.8686 0.2428  2 V 2.30-2.39, 2 Rh 2.40-2.45
Rh 0.1214 0.3743 0.2428  2 V 2.30-2.39, 2 Rh 2.40-2.45
Rh 0.1314 0.8786 0.7572  2 V 2.30-2.39, 2 Rh 2.40-2.45
Rh 0.2996 0.2996 0.5992  2 V 2.55, 2 Pt 2.66
Rh 0.7004 0.7004 0.4008  2 V 2.55, 2 Pt 2.66

First-principles (PBE-GGA) data for an optimized crystal structure of Mg2Ti2O5, as listed in Alexandria via LeMat-Bulk.

## Properties
Total energy ... -7.4520 eV per atom
E above lowest polymorph ... 0 meV per atom
Space-group type ... Ima2
E_form (uncorrected) ... -2.5887 eV per atom

Cell: 7.7043 7.7043 7.7043 Å, 137.60 137.02 61.96°
Last column: nearest neighbours and their distance in Å.
Element x y z (fractional)
Mg 0.4490 0.8282 0.5156  4 O 2.02-2.08
Mg 0.6874 0.1718 0.6209  4 O 2.02-2.08
Mg 0.9490 0.4335 0.6209  4 O 2.02-2.08
Mg 0.1874 0.5665 0.5156  4 O 2.02-2.08
O 0.7069 0.8045 0.4500  2 Ti 1.93-2.16, 1 Mg 2.04
O 0.6455 0.1955 0.9024  2 Ti 1.93-2.16, 1 Mg 2.04
O 0.2069 0.7568 0.9024  2 Ti 1.93-2.16, 1 Mg 2.04
O 0.1455 0.2432 0.4500  2 Ti 1.93-2.16, 1 Mg 2.04
O 0.7763 0.7317 0.7989  2 Ti 1.95-2.06, 2 Mg 2.02-2.06
O 0.0671 0.2683 0.0446  2 Ti 1.95-2.06, 2 Mg 2.02-2.06
O 0.2763 0.4775 0.0446  2 Ti 1.95-2.06, 2 Mg 2.02-2.06
O 0.5671 0.5225 0.7989  2 Ti 1.95-2.06, 2 Mg 2.02-2.06
O 0.1903 0.8608 0.5511  2 Ti 2.00-2.03, 2 Mg 2.08
O 0.6903 0.1392 0.3295  2 Ti 2.00-2.03, 2 Mg 2.08
Ti 0.9792 0.0000 0.9792  6 O 1.93-2.16
Ti 0.4792 0.5000 0.9792  6 O 1.93-2.16
Ti 0.8342 0.8118 0.1461  4 O 1.95-2.03
Ti 0.3342 0.1882 0.0224  4 O 1.95-2.03

First-principles (PBE-GGA) data for an optimized crystal structure of Te3SeN, as listed in Alexandria via LeMat-Bulk.

## Properties
Total energy ... -2.7265 eV per atom
E above lowest polymorph ... 1022 meV per atom
Space-group type ... Pm-3m
E_form (uncorrected) ... 1.5205 eV per atom

Cell: 5.5181 5.5181 5.5181 Å, 90.00 90.00 90.00°
Last column: nearest neighbours and their distance in Å.
Element x y z (fractional)
Te 0.0000 0.5000 0.0000  2 Se 2.76
Te 0.0000 0.0000 0.5000  2 Se 2.76
Te 0.5000 0.0000 0.0000  2 Se 2.76
Se 0.0000 0.0000 0.0000  6 Te 2.76
N 0.5000 0.5000 0.5000  12 Te 3.90

First-principles (PBE-GGA) data for an optimized crystal structure of HoPaB2, as listed in Alexandria via LeMat-Bulk.

## Properties
Total energy ... -6.7375 eV per atom
Space-group type ... R-3m
E_form ... 0.12 eV per atom

Cell: 3.7313 3.7313 6.3875 Å, 73.02 73.02 60.00°
Last column: nearest neighbours and their distance in Å.
Element x y z (fractional)
B 0.2577 0.2577 0.2270  3 Pa 2.55, 3 Ho 2.71
B 0.7423 0.7423 0.7730  3 Pa 2.55, 3 Ho 2.71
Pa 0.0000 0.0000 0.0000  6 B 2.55
Ho 0.5000 0.5000 0.5000  6 B 2.71

First-principles (PBE-GGA) data for an optimized crystal structure of Tb2Ce3Sb3, as listed in Alexandria via LeMat-Bulk.

## Properties
Total energy ... -5.7420 eV per atom
Space-group type ... P6_3/mcm
E_form (uncorrected) ... -0.8133 eV per atom

Cell: 6.4300 9.1684 9.1684 Å, 120.00 90.00 90.00°
Last column: nearest neighbours and their distance in Å.
Element x y z (fractional)
Tb 0.0000 0.3333 0.6667  2 Tb 3.22, 6 Sb 3.25
Tb 0.5000 0.6667 0.3333  2 Tb 3.22, 6 Sb 3.25
Tb 0.0000 0.6667 0.3333  2 Tb 3.22, 6 Sb 3.25
Tb 0.5000 0.3333 0.6667  2 Tb 3.22, 6 Sb 3.25
Ce 0.7500 0.2471 0.0000  5 Sb 3.15-3.48
Ce 0.7500 0.7529 0.7529  5 Sb 3.15-3.48
Ce 0.7500 0.0000 0.2471  5 Sb 3.15-3.48
Ce 0.2500 0.7529 0.0000  5 Sb 3.15-3.48
Ce 0.2500 0.2471 0.2471  5 Sb 3.15-3.48
Ce 0.2500 0.0000 0.7529  5 Sb 3.15-3.48
Sb 0.7500 0.6075 0.0000  5 Ce 3.15-3.48, 4 Tb 3.25
Sb 0.7500 0.3925 0.3925  5 Ce 3.15-3.48, 4 Tb 3.25
Sb 0.7500 0.0000 0.6075  5 Ce 3.15-3.48, 4 Tb 3.25
Sb 0.2500 0.3925 0.0000  5 Ce 3.15-3.48, 4 Tb 3.25
Sb 0.2500 0.6075 0.6075  5 Ce 3.15-3.48, 4 Tb 3.25
Sb 0.2500 0.0000 0.3925  5 Ce 3.15-3.48, 4 Tb 3.25